This record from Alexandria via LeMat-Bulk describes a PBEsol-optimized structure of Ti3InAs. The functional is SCAN.

Magnetic moment, μB/f.u.: 0.0
Formation enthalpy at 0 K, eV/atom: -0.117
ρ, g/cm3: 5.5

a = 4.644 Å, b = 4.644 Å, c = 4.644 Å
α = 90.00°, β = 90.00°, γ = 90.00°
Space group Pm-3m (No. 221)
Inequivalent atoms, fractional coordinates:
Ti1 0.000 0.000 0.500 x3
In1 0.500 0.500 0.500 x1
As1 0.000 0.000 0.000 x1